<a>
## Ho8TlCd2 (GGA-PBE)

Data for Ho8TlCd2 after structural relaxation.

Lattice parameters (Å, degrees): 8.5395 8.5395 8.4994 119.17 119.17 36.05
Fractional coordinates of all 11 atoms:
Ho 0.0673 0.0673 0.2194
Ho 0.1399 0.1399 0.6865
Ho 0.3177 0.3177 0.5495
Ho 0.4065 0.4065 0.0439
Ho 0.5935 0.5935 0.9561
Ho 0.6823 0.6823 0.4505
Ho 0.8601 0.8601 0.3135
Ho 0.9327 0.9327 0.7806
Tl 0.5000 0.5000 0.5000
Cd 0.2242 0.2242 0.1134
Cd 0.7758 0.7758 0.8866

Results
theoretical density = 9.271 Mg/m³



<b>
## Ho8TlCd2 (GGA-PBE)

Data for Ho8TlCd2 after structural relaxation.

Lattice parameters (Å, degrees): 9.3177 9.3177 7.2595 106.99 106.99 32.27
Fractional coordinates of all 11 atoms:
Ho 0.0246 0.0246 0.2556
Ho 0.1940 0.1940 0.7947
Ho 0.3318 0.3318 0.5419
Ho 0.4075 0.4075 0.0373
Ho 0.5925 0.5925 0.9627
Ho 0.6682 0.6682 0.4581
Ho 0.8060 0.8060 0.2053
Ho 0.9754 0.9754 0.7444
Tl 0.5000 0.5000 0.5000
Cd 0.1878 0.1878 0.2023
Cd 0.8122 0.8122 0.7977

Results
theoretical density = 9.059 Mg/m³



Which of them is most stable? Easy: <a>.



<a>
## Ho6TlCd (GGA-PBE)

Data for Ho6TlCd after structural relaxation.

Lattice parameters (Å, degrees): 6.9502 6.9502 6.9255 103.87 103.87 120.35
Fractional coordinates of all 8 atoms:
Ho 0.0339 0.4541 0.2485
Ho 0.2452 0.2452 0.7534
Ho 0.4541 0.0339 0.2485
Ho 0.5459 0.9661 0.7515
Ho 0.7548 0.7548 0.2466
Ho 0.9661 0.5459 0.7515
Tl 0.5000 0.5000 0.5000
Cd 0.0000 0.0000 0.0000

Results
theoretical density = 8.577 Mg/m³



<b>
## Ho6TlCd (GGA-PBE)

Data for Ho6TlCd after structural relaxation.

Lattice parameters (Å, degrees): 9.8058 9.8058 9.8058 150.22 150.22 42.62
Fractional coordinates of all 8 atoms:
Ho 0.1153 0.6153 0.5000
Ho 0.2489 0.2489 0.0000
Ho 0.3847 0.8847 0.5000
Ho 0.6153 0.1153 0.5000
Ho 0.7511 0.7511 0.0000
Ho 0.8847 0.3847 0.5000
Tl 0.5000 0.5000 0.0000
Cd 0.0000 0.0000 0.0000

Results
theoretical density = 9.348 Mg/m³



Which of them is most stable? Easy: <b>.



<a>
## HoTlCd2 (GGA-PBE)

Data for HoTlCd2 after structural relaxation.

Lattice parameters (Å, degrees): 5.2128 5.2128 5.2128 60.00 60.00 60.00
Fractional coordinates of all 4 atoms:
Ho 0.0000 0.0000 0.0000
Tl 0.5000 0.5000 0.5000
Cd 0.2500 0.2500 0.2500
Cd 0.7500 0.7500 0.7500

Results
theoretical density = 9.850 Mg/m³



<b>
## HoTlCd2 (GGA-PBE)

Data for HoTlCd2 after structural relaxation.

Lattice parameters (Å, degrees): 4.5026 4.5026 4.8736 90.00 90.00 90.00
Fractional coordinates of all 4 atoms:
Ho 0.0000 0.0000 0.0000
Tl 0.5000 0.5000 0.0000
Cd 0.0000 0.5000 0.5000
Cd 0.5000 0.0000 0.5000

Results
theoretical density = 9.985 Mg/m³



Which of them is most stable? Easy: <b>.



<a>
## HoTm4Cd (GGA-PBE)

Data for HoTm4Cd after structural relaxation.

Lattice parameters (Å, degrees): 5.9646 5.9646 11.5702 104.78 104.78 60.34
Fractional coordinates of all 12 atoms:
Ho 0.0000 0.5000 0.0000
Ho 0.5000 0.0000 0.5000
Tm 0.1640 0.6742 0.4993
Tm 0.2512 0.4158 0.7496
Tm 0.3258 0.8360 0.0007
Tm 0.4158 0.2512 0.2496
Tm 0.5842 0.7488 0.7504
Tm 0.6742 0.1640 0.9993
Tm 0.7488 0.5842 0.2504
Tm 0.8360 0.3258 0.5007
Cd 0.0824 0.9176 0.2500
Cd 0.9176 0.0824 0.7500

Results
theoretical density = 9.261 Mg/m³



<b>
## HoTm4Cd (GGA-PBE)

Data for HoTm4Cd after structural relaxation.

Lattice parameters (Å, degrees): 3.5067 3.5067 14.0212 90.00 90.00 90.00
Fractional coordinates of all 6 atoms:
Ho 0.0000 0.0000 0.0000
Tm 0.0000 0.0000 0.3515
Tm 0.0000 0.0000 0.6485
Tm 0.5000 0.5000 0.1760
Tm 0.5000 0.5000 0.8240
Cd 0.5000 0.5000 0.5000

Results
theoretical density = 9.179 Mg/m³



Which of them is most stable? Easy: <b>.



<a>
## Ho4TmCd (GGA-PBE)

Data for Ho4TmCd after structural relaxation.

Lattice parameters (Å, degrees): 3.5286 3.5286 14.0804 90.00 90.00 90.00
Fractional coordinates of all 6 atoms:
Ho 0.0000 0.0000 0.1486
Ho 0.0000 0.0000 0.8514
Ho 0.5000 0.5000 0.3248
Ho 0.5000 0.5000 0.6752
Tm 0.0000 0.0000 0.5000
Cd 0.5000 0.5000 0.0000

Results
theoretical density = 8.914 Mg/m³



<b>
## Ho4TmCd (GGA-PBE)

Data for Ho4TmCd after structural relaxation.

Lattice parameters (Å, degrees): 5.2555 5.2555 7.3297 90.00 90.00 90.00
Fractional coordinates of all 6 atoms:
Ho 0.0000 0.5000 0.2421
Ho 0.0000 0.5000 0.7579
Ho 0.5000 0.0000 0.2421
Ho 0.5000 0.0000 0.7579
Tm 0.0000 0.0000 0.5000
Cd 0.5000 0.5000 0.0000

Results
theoretical density = 7.719 Mg/m³



Which of them is most stable? Easy: <a>.



<a>
## Ho2TmCd (GGA-PBE)

Data for Ho2TmCd after structural relaxation.

Lattice parameters (Å, degrees): 11.0033 11.0033 11.0033 18.39 18.39 18.39
Fractional coordinates of all 4 atoms:
Ho 0.0000 0.0000 0.0000
Ho 0.1587 0.1587 0.1587
Tm 0.5797 0.5797 0.5797
Cd 0.4128 0.4128 0.4128

Results
theoretical density = 8.767 Mg/m³



<b>
## Ho2TmCd (GGA-PBE)

Data for Ho2TmCd after structural relaxation.

Lattice parameters (Å, degrees): 10.9249 10.9249 10.9249 18.61 18.61 18.61
Fractional coordinates of all 4 atoms:
Ho 0.2453 0.2453 0.2453
Ho 0.7547 0.7547 0.7547
Tm 0.0000 0.0000 0.0000
Cd 0.5000 0.5000 0.5000

Results
theoretical density = 8.753 Mg/m³



<c>
## Ho2TmCd (GGA-PBE)

Data for Ho2TmCd after structural relaxation.

Lattice parameters (Å, degrees): 3.5481 3.5481 9.0158 90.00 90.00 90.00
Fractional coordinates of all 4 atoms:
Ho 0.0000 0.0000 0.2307
Ho 0.0000 0.0000 0.7693
Tm 0.5000 0.5000 0.5000
Cd 0.5000 0.5000 0.0000

Results
theoretical density = 8.942 Mg/m³



<d>
## Ho2TmCd (GGA-PBE)

Data for Ho2TmCd after structural relaxation.

Lattice parameters (Å, degrees): 5.3985 5.3985 5.3985 60.00 60.00 60.00
Fractional coordinates of all 4 atoms:
Ho 0.2500 0.2500 0.2500
Ho 0.7500 0.7500 0.7500
Tm 0.0000 0.0000 0.0000
Cd 0.5000 0.5000 0.5000

Results
theoretical density = 9.123 Mg/m³



Which of them is most stable? Easy: <c>.



<a>
## HoTmCd4 (GGA-PBE)

Data for HoTmCd4 after structural relaxation.

Lattice parameters (Å, degrees): 5.8793 5.8793 5.8793 60.00 60.00 60.00
Fractional coordinates of all 6 atoms:
Ho 0.0000 0.0000 0.0000
Tm 0.2500 0.2500 0.2500
Cd 0.1249 0.6250 0.6250
Cd 0.6250 0.1249 0.6250
Cd 0.6250 0.6250 0.1249
Cd 0.6250 0.6250 0.6250

Results
theoretical density = 9.054 Mg/m³



<b>
## HoTmCd4 (GGA-PBE)

Data for HoTmCd4 after structural relaxation.

Lattice parameters (Å, degrees): 3.4078 4.9617 8.5690 90.00 90.00 90.00
Fractional coordinates of all 6 atoms:
Ho 0.0000 0.0000 0.0000
Tm 0.0000 0.5000 0.5000
Cd 0.5000 0.0000 0.3337
Cd 0.5000 0.0000 0.6663
Cd 0.5000 0.5000 0.1678
Cd 0.5000 0.5000 0.8322

Results
theoretical density = 8.980 Mg/m³



Which of them is most stable? Easy: <b>.



<a>
## HoTm3Cd (GGA-PBE)

Data for HoTm3Cd after structural relaxation.

Lattice parameters (Å, degrees): 3.6539 9.4885 9.0388 90.00 101.63 90.00
Fractional coordinates of all 10 atoms:
Ho 0.0136 0.2500 0.0255
Ho 0.9864 0.7500 0.9745
Tm 0.2000 0.2500 0.4002
Tm 0.3965 0.0060 0.7935
Tm 0.3965 0.4940 0.7935
Tm 0.6035 0.5060 0.2065
Tm 0.6035 0.9940 0.2065
Tm 0.8000 0.7500 0.5998
Cd 0.1659 0.7500 0.3307
Cd 0.8341 0.2500 0.6693

Results
theoretical density = 8.484 Mg/m³



<b>
## HoTm3Cd (GGA-PBE)

Data for HoTm3Cd after structural relaxation.

Lattice parameters (Å, degrees): 6.6398 6.6398 12.5227 94.03 94.03 31.27
Fractional coordinates of all 10 atoms:
Ho 0.2338 0.2338 0.2568
Ho 0.7662 0.7662 0.7432
Tm 0.0334 0.0334 0.6883
Tm 0.1457 0.1457 0.9443
Tm 0.3651 0.3651 0.5196
Tm 0.6349 0.6349 0.4804
Tm 0.8543 0.8543 0.0557
Tm 0.9666 0.9666 0.3117
Cd 0.4403 0.4403 0.8737
Cd 0.5597 0.5597 0.1263

Results
theoretical density = 9.112 Mg/m³



Which of them is most stable? Easy: <b>.



<a>
## Ho2TmCd2 (GGA-PBE)

Data for Ho2TmCd2 after structural relaxation.

Lattice parameters (Å, degrees): 5.8676 5.8676 5.8676 130.00 109.64 91.21
Fractional coordinates of all 5 atoms:
Ho 0.1984 0.1984 0.0000
Ho 0.8016 0.8016 0.0000
Tm 0.5000 0.0000 0.5000
Cd 0.2113 0.5000 0.7113
Cd 0.7887 0.5000 0.2887

Results
theoretical density = 8.729 Mg/m³



<b>
## Ho2TmCd2 (GGA-PBE)

Data for Ho2TmCd2 after structural relaxation.

Lattice parameters (Å, degrees): 3.6951 5.2864 13.7630 90.00 97.75 90.00
Fractional coordinates of all 10 atoms:
Ho 0.0453 0.2500 0.0908
Ho 0.2357 0.2500 0.4724
Ho 0.7643 0.7500 0.5276
Ho 0.9547 0.7500 0.9092
Tm 0.1497 0.7500 0.2990
Tm 0.8503 0.2500 0.7010
Cd 0.3592 0.7500 0.7183
Cd 0.4474 0.2500 0.8947
Cd 0.5526 0.7500 0.1053
Cd 0.6408 0.2500 0.2817

Results
theoretical density = 9.021 Mg/m³



Which of them is most stable? Easy: <b>.



<a>
## Ho2TmCd4 (GGA-PBE)

Data for Ho2TmCd4 after structural relaxation.

Lattice parameters (Å, degrees): 7.8138 7.8138 7.8138 140.44 140.44 57.18
Fractional coordinates of all 7 atoms:
Ho 0.2427 0.2427 0.0000
Ho 0.7573 0.7573 0.0000
Tm 0.5000 0.5000 0.0000
Cd 0.1143 0.6143 0.5000
Cd 0.3857 0.8857 0.5000
Cd 0.6143 0.1143 0.5000
Cd 0.8857 0.3857 0.5000

Results
theoretical density = 8.208 Mg/m³



<b>
## Ho2TmCd4 (GGA-PBE)

Data for Ho2TmCd4 after structural relaxation.

Lattice parameters (Å, degrees): 8.6936 8.6936 8.6936 142.74 142.74 53.72
Fractional coordinates of all 7 atoms:
Ho 0.1029 0.1029 0.0000
Ho 0.8971 0.8971 0.0000
Tm 0.5000 0.5000 0.0000
Cd 0.0000 0.5000 0.5000
Cd 0.3047 0.3047 0.0000
Cd 0.5000 0.0000 0.5000
Cd 0.6953 0.6953 0.0000

Results
theoretical density = 6.580 Mg/m³



Which of them is most stable? Easy: <a>.



<a>
## Ho4Tm3Cd (GGA-PBE)

Data for Ho4Tm3Cd after structural relaxation.

Lattice parameters (Å, degrees): 7.2394 7.2394 7.2394 130.19 104.79 95.71
Fractional coordinates of all 8 atoms:
Ho 0.1736 0.0000 0.1736
Ho 0.5219 0.2711 0.7491
Ho 0.5219 0.7728 0.2509
Ho 0.8264 0.0000 0.8264
Tm 0.3641 0.6814 0.6827
Tm 0.8457 0.3457 0.5000
Tm 0.9988 0.6814 0.3173
Cd 0.2593 0.2593 0.0000

Results
theoretical density = 8.115 Mg/m³



<b>
## Ho4Tm3Cd (GGA-PBE)

Data for Ho4Tm3Cd after structural relaxation.

Lattice parameters (Å, degrees): 3.5178 3.5178 19.0183 90.00 90.00 90.00
Fractional coordinates of all 8 atoms:
Ho 0.0000 0.0000 0.1108
Ho 0.0000 0.0000 0.3700
Ho 0.0000 0.0000 0.6300
Ho 0.0000 0.0000 0.8892
Tm 0.5000 0.5000 0.2404
Tm 0.5000 0.5000 0.5000
Tm 0.5000 0.5000 0.7596
Cd 0.5000 0.5000 0.0000

Results
theoretical density = 9.024 Mg/m³



Which of them is most stable? Easy: <b>.



<a>
## Ho2Tm2Cd (GGA-PBE)

Data for Ho2Tm2Cd after structural relaxation.

Lattice parameters (Å, degrees): 11.8770 11.8770 11.8770 163.00 163.00 24.13
Fractional coordinates of all 5 atoms:
Ho 0.1965 0.1965 0.0000
Ho 0.8035 0.8035 0.0000
Tm 0.4102 0.4102 0.0000
Tm 0.5898 0.5898 0.0000
Cd 0.0000 0.0000 0.0000

Results
theoretical density = 9.050 Mg/m³



<b>
## Ho2Tm2Cd (GGA-PBE)

Data for Ho2Tm2Cd after structural relaxation.

Lattice parameters (Å, degrees): 12.8581 12.8581 12.8581 157.49 157.49 32.05
Fractional coordinates of all 10 atoms:
Ho 0.0479 0.2979 0.7500
Ho 0.2979 0.0479 0.2500
Ho 0.7021 0.9521 0.7500
Ho 0.9521 0.7021 0.2500
Tm 0.1987 0.4487 0.7500
Tm 0.4487 0.1987 0.2500
Tm 0.5513 0.8013 0.7500
Tm 0.8013 0.5513 0.2500
Cd 0.1250 0.8750 0.2500
Cd 0.8750 0.1250 0.7500

Results
theoretical density = 8.319 Mg/m³



Which of them is most stable? Easy: <a>.